# AgPtAu2, single point on PBEsol structure, DFT SCAN
# distance to the lowest polymorph of the same formula = 24 meV/atom
# density of states at the Fermi level = 1.371 states/eV per cell
# raw total energy = -239.84 eV for the cell shown
# SG = P4mm, No. 99
# size of the total moment = 0.00 μB/f.u.
data_AgPtAu2
_cell_length_a 2.818
_cell_length_b 2.818
_cell_length_c 8.188
_cell_angle_alpha 90.00
_cell_angle_beta 90.00
_cell_angle_gamma 90.00
_symmetry_space_group_name_H-M 'P 1'
_symmetry_Int_Tables_number 1
loop_
_symmetry_equiv_pos_as_xyz
'x,y,z'
loop_
_atom_site_label
_atom_site_type_symbol
_atom_site_fract_x
_atom_site_fract_y
_atom_site_fract_z
_atom_site_occupancy
Au1 Au 0.000 0.000 0.998 1
Pt1 Pt 0.000 0.000 0.501 1
Au2 Au 0.500 0.500 0.256 1
Ag1 Ag 0.500 0.500 0.744 1